No. 1
GGA-PBE KGa4Au, relaxed; DFT total energy = -2.90 eV per atom; energy of formation from the pure elements = -0.15 eV per atom; symmetry = P-1
1.0
7.097 0.330 0.033
0.278 6.387 1.496
-3.550 -1.187 6.019
K Ga Au
2 8 2
Direct
0.833 0.758 0.975
0.167 0.242 0.025
0.504 0.331 0.786
0.746 0.239 0.205
0.496 0.669 0.214
0.254 0.761 0.795
0.833 0.890 0.459
0.324 0.650 0.467
0.167 0.110 0.541
0.676 0.350 0.533
0.500 0.000 0.500
0.000 0.500 0.500

***

No. 2
GGA-PBE CsNpZn2Br8, relaxed; DFT total energy = -3.65 eV per atom; uncorrected formation energy = -113.0 kJ per mole of atoms; symmetry = R-3
1.0
6.931 0.000 0.000
3.465 6.002 0.000
3.465 2.001 10.717
Cs Np Zn Br
1 1 2 8
Direct
0.500 0.500 0.500
0.000 0.000 0.000
0.252 0.252 0.244
0.748 0.748 0.756
0.179 0.179 0.464
0.612 0.283 0.163
0.821 0.821 0.536
0.942 0.612 0.163
0.058 0.388 0.837
0.283 0.942 0.163
0.717 0.058 0.837
0.388 0.717 0.837

***

No. 3
GGA-PBE SrSiHg2, relaxed; DFT total energy = -1.90 eV per atom; uncorrected formation energy = 2.5 kJ per mole of atoms; symmetry = C2/m
1.0
-4.869 1.443 1.438
0.269 -5.740 -2.883
-0.032 -2.565 2.733
Hg Si Sr
2 1 1
Direct
0.000 0.000 0.000
0.500 0.000 0.500
0.000 0.500 0.500
0.500 0.500 0.000

***

No. 4
GGA-PBE Zr2TeAu, relaxed; offset from the most stable computed form = 145 meV/atom; DFT total energy = -6.25 eV per atom; uncorrected formation energy = -36.1 kJ per mole of atoms; symmetry = I-4m2
1.0
5.725 0.000 0.000
2.651 5.074 0.000
-4.188 -2.537 2.966
Au Te Zr
1 1 2
Direct
0.500 0.500 0.000
0.750 0.250 0.500
0.000 0.000 0.000
0.250 0.750 0.500

***

No. 5
GGA-PBE BeCr2Sn, relaxed; offset from the most stable computed form = 303 meV/atom; DFT total energy = -6.06 eV per atom; energy of formation from the pure elements = 0.69 eV per atom; symmetry = I-42d
1.0
3.621 0.000 0.000
0.000 3.621 0.000
1.810 1.810 8.958
Cr Sn Be
4 2 2
Direct
0.199 0.125 0.250
0.551 0.625 0.250
0.375 0.801 0.750
0.875 0.449 0.750
0.000 0.000 0.000
0.750 0.250 0.500
0.500 0.500 0.000
0.250 0.750 0.500

***

No. 6
GGA-PBE ZnSeF, relaxed; offset from the most stable computed form = 58 meV/atom; DFT total energy = -3.47 eV per atom; uncorrected formation energy = -121.9 kJ per mole of atoms; symmetry = Cm
1.0
-2.853 -2.674 -1.287
3.909 -1.347 -5.865
5.198 -4.299 4.452
Zn Se F
4 4 4
Direct
0.268 0.242 0.296
0.268 0.758 0.296
0.268 0.742 0.796
0.268 0.258 0.796
0.636 0.832 0.108
0.636 0.168 0.108
0.636 0.332 0.608
0.636 0.668 0.608
0.076 0.000 0.773
0.076 0.500 0.273
0.242 0.000 0.417
0.242 0.500 0.917

***

- What is the DFT total energy in the sixth record?
  -3.47 eV per atom